[1]
# Tb5Y6Ho, relaxed, DFT PBE-GGA
data_Tb5Y6Ho
_chemical_formula_sum 'Tb10 Y12 Ho2'
_space_group_name_H-M_alt 'C 1 2/m 1'
_space_group_IT_number 12
_space_group_name_Hall '-C 2y'
_cell_length_a 6.174
_cell_length_b 10.683
_cell_length_c 11.804
_cell_angle_alpha 90.00
_cell_angle_beta 99.98
_cell_angle_gamma 90.00
loop_
_atom_site_label
_atom_site_type_symbol
_atom_site_fract_x
_atom_site_fract_y
_atom_site_fract_z
Tb1 Tb 0.000 0.000 0.000
Tb2 Tb 0.000 0.167 0.500
Tb3 Tb 0.000 0.333 0.000
Y1 Y 0.250 0.000 0.750
Y2 Y 0.250 0.167 0.250
Ho1 Ho 0.000 0.500 0.500
# - ΔE_f (eV/atom) = 0.0192
# - final energy (eV/atom) = -5.524
# - N(E_F) (states/eV/cell) = 34.0

---

[2]
# Nb2V2GaOs5, relaxed, DFT PBE-GGA
data_Nb2V2GaOs5
_chemical_formula_sum 'Nb4 V4 Ga2 Os10'
_space_group_name_H-M_alt 'P 4/m b m'
_space_group_IT_number 127
_space_group_name_Hall '-P 4 2ab'
_cell_length_a 8.934
_cell_length_b 8.934
_cell_length_c 3.883
_cell_angle_alpha 90.00
_cell_angle_beta 90.00
_cell_angle_gamma 90.00
loop_
_atom_site_label
_atom_site_type_symbol
_atom_site_fract_x
_atom_site_fract_y
_atom_site_fract_z
Nb1 Nb 0.184 0.316 0.000
V1 V 0.118 0.618 0.000
Ga1 Ga 0.000 0.000 0.000
Os1 Os 0.000 0.500 0.500
Os2 Os 0.058 0.798 0.500
# - ΔE_f (eV/atom) = 0.0560
# - final energy (eV/atom) = -9.699
# - N(E_F) (states/eV/cell) = 19.6

---

[3]
# CaAsRh2, relaxed, DFT PBE-GGA
data_CaAsRh2
_chemical_formula_sum 'Ca1 As1 Rh2'
_space_group_name_H-M_alt 'P 4/m m m'
_space_group_IT_number 123
_space_group_name_Hall '-P 4 2'
_cell_length_a 3.089
_cell_length_b 3.089
_cell_length_c 7.289
_cell_angle_alpha 90.00
_cell_angle_beta 90.00
_cell_angle_gamma 90.00
loop_
_atom_site_label
_atom_site_type_symbol
_atom_site_fract_x
_atom_site_fract_y
_atom_site_fract_z
Ca1 Ca 0.000 0.000 0.000
As1 As 0.000 0.000 0.500
Rh1 Rh 0.500 0.500 0.301
# - ΔE_f (eV/atom) = -0.3420
# - final energy (eV/atom) = -5.681
# - N(E_F) (states/eV/cell) = 2.7

---

[4]
# Li2CaY2Pb2, relaxed, DFT PBE-GGA
data_Li2CaY2Pb2
_chemical_formula_sum 'Li6 Ca3 Y6 Pb6'
_space_group_name_H-M_alt 'R -3 m'
_space_group_IT_number 166
_space_group_name_Hall '-R 3 2"'
_cell_length_a 4.8738
_cell_length_b 4.8738
_cell_length_c 27.6039
_cell_angle_alpha 90.00
_cell_angle_beta 90.00
_cell_angle_gamma 120.00
loop_
_atom_site_label
_atom_site_type_symbol
_atom_site_fract_x
_atom_site_fract_y
_atom_site_fract_z
Li1 Li 0.0000 0.0000 0.0919
Ca1 Ca 0.0000 0.0000 0.5000
Y1 Y 0.0000 0.0000 0.3703
Pb1 Pb 0.0000 0.0000 0.2419
# - ΔE_f (eV/atom) = -0.3620
# - final energy (eV/atom) = -4.101
# - N(E_F) (states/eV/cell) = 10.5

---

[5]
# La7Pm2Y2, relaxed, DFT PBE-GGA
data_La7Pm2Y2
_chemical_formula_sum 'La14 Pm4 Y4'
_space_group_name_H-M_alt 'C 1 2/m 1'
_space_group_IT_number 12
_space_group_name_Hall '-C 2y'
_cell_length_a 11.614
_cell_length_b 11.663
_cell_length_c 6.236
_cell_angle_alpha 90.00
_cell_angle_beta 111.14
_cell_angle_gamma 90.00
loop_
_atom_site_label
_atom_site_type_symbol
_atom_site_fract_x
_atom_site_fract_y
_atom_site_fract_z
La1 La 0.000 0.000 0.000
La2 La 0.070 0.500 0.803
La3 La 0.186 0.226 0.181
Pm1 Pm 0.000 0.215 0.500
Y1 Y 0.227 0.000 0.598
# - ΔE_f (eV/atom) = 0.1156
# - final energy (eV/atom) = -5.059
# - offset from the most stable computed form (meV per atom) = 0
# - N(E_F) (states/eV/cell) = 34.8

---

[6]
# Ac4Cd3Au2, relaxed, DFT PBE-GGA
data_Ac4Cd3Au2
_chemical_formula_sum 'Ac4 Cd3 Au2'
_space_group_name_H-M_alt 'P -3 m 1'
_space_group_IT_number 164
_space_group_name_Hall '-P 3 2"'
_cell_length_a 5.4313
_cell_length_b 5.4313
_cell_length_c 10.8783
_cell_angle_alpha 90.00
_cell_angle_beta 90.00
_cell_angle_gamma 120.00
loop_
_atom_site_label
_atom_site_type_symbol
_atom_site_fract_x
_atom_site_fract_y
_atom_site_fract_z
Ac1 Ac 0.0000 0.0000 0.1697
Ac2 Ac 0.3333 0.6667 0.3864
Cd1 Cd 0.0000 0.0000 0.5000
Cd2 Cd 0.3333 0.6667 0.9902
Au1 Au 0.3333 0.6667 0.6899
# - ΔE_f (eV/atom) = -0.4755
# - final energy (eV/atom) = -3.335
# - N(E_F) (states/eV/cell) = 3.8

---

[7]
# Ca2Sm3DyTe6, relaxed, DFT PBE-GGA
data_Ca2Sm3DyTe6
_chemical_formula_sum 'Ca4 Sm6 Dy2 Te12'
_space_group_name_H-M_alt 'C 1 2/m 1'
_space_group_IT_number 12
_space_group_name_Hall '-C 2y'
_cell_length_a 7.633
_cell_length_b 13.233
_cell_length_c 7.798
_cell_angle_alpha 90.00
_cell_angle_beta 109.11
_cell_angle_gamma 90.00
loop_
_atom_site_label
_atom_site_type_symbol
_atom_site_fract_x
_atom_site_fract_y
_atom_site_fract_z
Ca1 Ca 0.000 0.166 0.000
Sm1 Sm 0.000 0.000 0.500
Sm2 Sm 0.000 0.328 0.500
Dy1 Dy 0.000 0.500 0.000
Te1 Te 0.246 0.335 0.243
Te2 Te 0.246 0.500 0.750
# - final energy (eV/atom) = -4.908
# - N(E_F) (states/eV/cell) = 11.8
# - formation energy (no corrections) (eV per atom) = -1.440

---

[8]
# Pm2Sm12Sc5, relaxed, DFT PBE-GGA
data_Pm2Sm12Sc5
_chemical_formula_sum 'Pm4 Sm24 Sc10'
_space_group_name_H-M_alt 'C 1 2/m 1'
_space_group_IT_number 12
_space_group_name_Hall '-C 2y'
_cell_length_a 21.701
_cell_length_b 6.952
_cell_length_c 8.530
_cell_angle_alpha 90.00
_cell_angle_beta 108.91
_cell_angle_gamma 90.00
loop_
_atom_site_label
_atom_site_type_symbol
_atom_site_fract_x
_atom_site_fract_y
_atom_site_fract_z
Pm1 Pm 0.000 0.246 0.000
Sm1 Sm 0.049 0.000 0.693
Sm2 Sm 0.109 0.246 0.389
Sm3 Sm 0.146 0.500 0.068
Sm4 Sm 0.202 0.247 0.792
Sc1 Sc 0.000 0.500 0.500
Sc2 Sc 0.152 0.000 0.098
Sc3 Sc 0.249 0.000 0.503
# - ΔE_f (eV/atom) = 0.1577
# - final energy (eV/atom) = -4.989
# - N(E_F) (states/eV/cell) = 55.7

---

[9]
# HoZrPS, relaxed, DFT PBE-GGA
data_HoZrPS
_chemical_formula_sum 'Ho3 Zr3 P3 S3'
_space_group_name_H-M_alt 'R 3 m'
_space_group_IT_number 160
_space_group_name_Hall 'R 3 -2"'
_cell_length_a 3.7412
_cell_length_b 3.7412
_cell_length_c 19.9689
_cell_angle_alpha 90.00
_cell_angle_beta 90.00
_cell_angle_gamma 120.00
loop_
_atom_site_label
_atom_site_type_symbol
_atom_site_fract_x
_atom_site_fract_y
_atom_site_fract_z
Ho1 Ho 0.0000 0.0000 0.0000
Zr1 Zr 0.0000 0.0000 0.1810
P1 P 0.0000 0.0000 0.5855
S1 S 0.0000 0.0000 0.7621
# - final energy (eV/atom) = -7.252
# - N(E_F) (states/eV/cell) = 5.0
# - formation energy (no corrections) (eV per atom) = -1.586

---

[10]
# Pm2EuSn, relaxed, DFT PBE-GGA
data_Pm2EuSn
_chemical_formula_sum 'Pm2 Eu1 Sn1'
_space_group_name_H-M_alt 'P 4/m m m'
_space_group_IT_number 123
_space_group_name_Hall '-P 4 2'
_cell_length_a 4.227
_cell_length_b 4.227
_cell_length_c 7.080
_cell_angle_alpha 90.00
_cell_angle_beta 90.00
_cell_angle_gamma 90.00
loop_
_atom_site_label
_atom_site_type_symbol
_atom_site_fract_x
_atom_site_fract_y
_atom_site_fract_z
Pm1 Pm 0.000 0.000 0.220
Eu1 Eu 0.500 0.500 0.500
Sn1 Sn 0.500 0.500 0.000
# - ΔE_f (eV/atom) = -0.3147
# - final energy (eV/atom) = -6.259
# - offset from the most stable computed form (meV per atom) = 96
# - N(E_F) (states/eV/cell) = 4.4

---

[11]
# FeCuSi2, relaxed, DFT PBE-GGA
data_FeCuSi2
_chemical_formula_sum 'Fe4 Cu4 Si8'
_space_group_name_H-M_alt 'F -4 3 m'
_space_group_IT_number 216
_space_group_name_Hall 'F -4 2 3'
_cell_length_a 5.844
_cell_length_b 5.844
_cell_length_c 5.844
_cell_angle_alpha 90.00
_cell_angle_beta 90.00
_cell_angle_gamma 90.00
loop_
_atom_site_label
_atom_site_type_symbol
_atom_site_fract_x
_atom_site_fract_y
_atom_site_fract_z
Fe1 Fe 0.000 0.000 0.000
Cu1 Cu 0.250 0.250 0.750
Si1 Si 0.000 0.000 0.500
Si2 Si 0.250 0.250 0.250
# - final energy (eV/atom) = -5.532
# - N(E_F) (states/eV/cell) = 15.5
# - formation energy (no corrections) (eV per atom) = 0.320

---

[12]
# Hf6SiSn2, relaxed, DFT PBE-GGA
data_Hf6SiSn2
_chemical_formula_sum 'Hf12 Si2 Sn4'
_space_group_name_H-M_alt 'P 42/m n m'
_space_group_IT_number 136
_space_group_name_Hall '-P 4n 2n'
_cell_length_a 6.045
_cell_length_b 6.045
_cell_length_c 13.159
_cell_angle_alpha 90.00
_cell_angle_beta 90.00
_cell_angle_gamma 90.00
loop_
_atom_site_label
_atom_site_type_symbol
_atom_site_fract_x
_atom_site_fract_y
_atom_site_fract_z
Hf1 Hf 0.187 0.187 0.000
Hf2 Hf 0.203 0.203 0.371
Si1 Si 0.000 0.000 0.500
Sn1 Sn 0.000 0.000 0.197
# - final energy (eV/atom) = -7.704
# - N(E_F) (states/eV/cell) = 13.5
# - formation energy (no corrections) (eV per atom) = 0.424